Entry 1:
Ac3Pm3TmS8 | GGA-PBE | optimized geometry

Computed properties:
Crystal system ... trigonal
Formation energy (no corrections) ... -2958 kJ/mol of formula units
Space-group type ... R-3m

Lattice parameters (Å, degrees): 8.1898 8.1902 8.3761 119.26 90.00 120.00
Last column: nearest neighbours and their distance in Å.
Atoms (fractional coordinates):
1 S 0.2356 0.9889 0.7245  1 Tm 2.76, 2 Pm 2.86, 2 Ac 3.00
2 S 0.2467 0.0111 0.2755  1 Tm 2.76, 2 Pm 2.86, 2 Ac 3.00
3 S 0.2356 0.4713 0.7246  1 Tm 2.76, 2 Pm 2.86, 2 Ac 3.00
4 S 0.7644 0.5287 0.2754  1 Tm 2.76, 2 Pm 2.86, 2 Ac 3.00
5 S 0.7644 0.0111 0.2755  1 Tm 2.76, 2 Pm 2.86, 2 Ac 3.00
6 S 0.2560 0.5120 0.2680  3 Pm 2.86, 3 Ac 3.00
7 S 0.7533 0.9889 0.7245  1 Tm 2.76, 2 Pm 2.86, 2 Ac 3.00
8 S 0.7440 0.4880 0.7320  3 Pm 2.86, 3 Ac 3.00
9 Ac 0.0000 0.0000 0.0000  6 S 3.00
10 Ac 0.0000 0.5000 0.0000  6 S 3.00
11 Ac 0.5000 0.5000 0.0000  6 S 3.00
12 Tm 0.0000 0.0000 0.5000  6 S 2.76
13 Pm 0.5000 0.0000 0.5000  6 S 2.86
14 Pm 0.5000 0.5000 0.5000  6 S 2.86
15 Pm 0.0000 0.5000 0.5000  6 S 2.86

Entry 2:
PuZnSnSb | GGA-PBE | optimized geometry

Computed properties:
Crystal system ... orthorhombic
Formation energy (no corrections) ... -131 kJ/mol of formula units
Space-group type ... Pmmm

Lattice parameters (Å, degrees): 4.3690 4.5118 4.7573 90.00 90.00 90.00
Last column: nearest neighbours and their distance in Å.
Atoms (fractional coordinates):
1 Sn 0.0000 0.0000 0.0000  4 Zn 3.14, 4 Pu 3.23, 4 Sb 3.28
2 Sb 0.0000 0.5000 0.5000  4 Pu 3.14, 4 Zn 3.23, 4 Sn 3.28
3 Pu 0.5000 0.0000 0.5000  4 Sb 3.14, 4 Sn 3.23, 4 Zn 3.28
4 Zn 0.5000 0.5000 0.0000  4 Sn 3.14, 4 Sb 3.23, 4 Pu 3.28

Entry 3:
HfAs2AuSe | GGA-PBE | optimized geometry

Computed properties:
Crystal system ... tetragonal
Formation energy (no corrections) ... 343 kJ/mol of formula units
Space-group type ... P4/mmm
Offset from the most stable computed form ... 0.4125 eV per atom

Lattice parameters (Å, degrees): 4.9077 4.9077 5.0423 90.00 90.00 90.00
Last column: nearest neighbours and their distance in Å.
Atoms (fractional coordinates):
1 Se 0.0000 0.0000 0.5000  2 Au 2.52
2 Hf 0.5000 0.5000 0.5000  4 Se 3.47, 8 As 3.52
3 Au 0.0000 0.0000 0.0000  4 As 2.45, 2 Se 2.52
4 As 0.5000 0.0000 0.0000  2 Au 2.45
5 As 0.0000 0.5000 0.0000  2 Au 2.45

Entry 4:
TmCdHgAu | GGA-PBE | optimized geometry

Computed properties:
Energy of formation ... -503 meV/atom
Crystal system ... cubic
Space-group type ... F-43m

Lattice parameters (Å, degrees): 4.9638 4.9638 4.9638 60.00 60.00 60.00
Last column: nearest neighbours and their distance in Å.
Atoms (fractional coordinates):
1 Hg 0.5000 0.5000 0.5000  4 Cd 3.04, 4 Tm 3.04
2 Au 0.0000 0.0000 0.0000  4 Cd 3.04, 4 Tm 3.04
3 Cd 0.7500 0.7500 0.7500  4 Au 3.04, 4 Hg 3.04
4 Tm 0.2500 0.2500 0.2500  4 Hg 3.04, 4 Au 3.04

Entry 5:
Tb8Ce2Ho3 | GGA-PBE | optimized geometry

Computed properties:
Energy of formation ... 269 meV/atom
Crystal system ... monoclinic
Space-group type ... C2/m

Lattice parameters (Å, degrees): 6.7953 9.4506 9.4506 57.84 61.77 61.77
Last column: nearest neighbours and their distance in Å.
Atoms (fractional coordinates):
1 Ce 0.5216 0.7833 0.7833  7 Tb 3.36-3.48, 1 Ho 3.51
2 Ce 0.4784 0.2167 0.2167  7 Tb 3.36-3.48, 1 Ho 3.51
3 Tb 0.0610 0.5830 0.5830  6 Tb 3.27-3.65, 1 Ce 3.36, 2 Ho 3.41
4 Tb 0.5616 0.1958 0.5644  5 Tb 3.37-3.65, 2 Ce 3.38-3.48, 2 Ho 3.40-3.47
5 Tb 0.5616 0.5644 0.1958  5 Tb 3.37-3.65, 2 Ce 3.38-3.48, 2 Ho 3.40-3.47
6 Tb 0.4384 0.4356 0.8042  5 Tb 3.37-3.65, 2 Ce 3.38-3.48, 2 Ho 3.40-3.47
7 Tb 0.9945 0.8104 0.8104  1 Ho 3.12, 2 Ce 3.36-3.48, 2 Tb 3.40
8 Tb 0.4384 0.8042 0.4356  5 Tb 3.37-3.65, 2 Ce 3.38-3.48, 2 Ho 3.40-3.47
9 Tb 0.9390 0.4170 0.4170  6 Tb 3.27-3.65, 1 Ce 3.36, 2 Ho 3.41
10 Tb 0.0055 0.1896 0.1896  1 Ho 3.12, 2 Ce 3.36-3.48, 2 Tb 3.40
11 Ho 0.0000 0.8274 0.1726  1 Ho 3.15, 6 Tb 3.41-3.53
12 Ho 0.5000 0.0000 0.0000  6 Tb 3.12-3.40
13 Ho 0.0000 0.1726 0.8274  1 Ho 3.15, 6 Tb 3.41-3.53

Entry 6:
TlBOF2 | GGA-PBE | optimized geometry

Computed properties:
Crystal system ... tetragonal
Formation energy (no corrections) ... -693 kJ/mol of formula units
Space-group type ... P4/mmm
Offset from the most stable computed form ... 0.0000 eV per atom

Lattice parameters (Å, degrees): 4.6966 4.6966 2.7360 90.00 90.00 90.00
Last column: nearest neighbours and their distance in Å.
Atoms (fractional coordinates):
1 F 0.5000 0.0000 0.0000  2 B 2.35
2 F 0.0000 0.5000 0.0000  2 B 2.35
3 O 0.0000 0.0000 0.5000  2 B 1.37
4 Tl 0.5000 0.5000 0.5000  8 F 2.72, 2 Tl 2.74
5 B 0.0000 0.0000 0.0000  2 O 1.37

Entry 7:
Be2SnC | GGA-PBE | optimized geometry

Computed properties:
Energy of formation ... 392 meV/atom
Crystal system ... tetragonal
Space-group type ... I-42d
Offset from the most stable computed form ... 0.0000 eV per atom

Lattice parameters (Å, degrees): 5.4626 5.4626 5.4647 60.01 60.01 90.00
Last column: nearest neighbours and their distance in Å.
Atoms (fractional coordinates):
1 Sn 0.0000 0.0000 0.0000  12 Be 3.20-3.21, 4 C 3.35, 4 Sn 3.35
2 Sn 0.7500 0.2500 0.5000  12 Be 3.20-3.21, 4 C 3.35, 4 Sn 3.35
3 C 0.5000 0.5000 0.0000  4 Be 1.67
4 C 0.2500 0.7500 0.5000  4 Be 1.67
5 Be 0.8750 0.6239 0.7500  2 C 1.67
6 Be 0.3739 0.1250 0.2500  2 C 1.67
7 Be 0.3750 0.6261 0.7500  2 C 1.67
8 Be 0.3761 0.6250 0.2500  2 C 1.67

Entry 8:
Ba2CdBTe | GGA-PBE | optimized geometry

Computed properties:
Crystal system ... tetragonal
Formation energy (no corrections) ... 0 kJ/mol of formula units
Space-group type ... P4/mmm

Lattice parameters (Å, degrees): 6.0016 4.6869 6.0016 90.00 90.00 90.00
Last column: nearest neighbours and their distance in Å.
Atoms (fractional coordinates):
1 Cd 0.5000 0.5000 0.5000  8 Ba 3.81, 4 Te 4.24
2 Ba 0.0000 0.0000 0.5000  2 B 3.00
3 Ba 0.5000 0.0000 0.0000  2 B 3.00
4 Te 0.0000 0.5000 0.0000  2 B 2.34
5 B 0.0000 0.0000 0.0000  2 Te 2.34

Entry 9:
Y2OsW | GGA-PBE | optimized geometry

Computed properties:
Energy of formation ... 157 meV/atom
Crystal system ... orthorhombic
Space-group type ... Imm2
Offset from the most stable computed form ... 0.1084 eV per atom

Lattice parameters (Å, degrees): 6.0369 6.0369 5.0496 65.27 65.27 31.97
Last column: nearest neighbours and their distance in Å.
Atoms (fractional coordinates):
1 W 0.2084 0.2084 0.2915  2 Os 2.51
2 Os 0.5284 0.5284 0.4717  2 W 2.51
3 Y 0.9881 0.9881 0.0119  4 Os 3.05, 4 Y 3.33-3.37, 4 W 3.36-3.42
4 Y 0.7751 0.7751 0.7248  4 W 3.10, 2 Os 3.13, 6 Y 3.33-3.43

Entry 10:
Cs2RbPBr6 | GGA-PBE | optimized geometry

Computed properties:
Crystal system ... cubic
Formation energy (no corrections) ... -1113 kJ/mol of formula units
Space-group type ... Fm-3m
Offset from the most stable computed form ... 0.0098 eV per atom

Lattice parameters (Å, degrees): 8.2975 8.2975 8.2979 60.00 60.00 90.00
Last column: nearest neighbours and their distance in Å.
Atoms (fractional coordinates):
1 Br 0.7207 0.7207 0.0000  1 P 2.59
2 Br 0.7207 0.7207 0.5585  1 P 2.59
3 Br 0.2793 0.2793 0.4415  1 P 2.59
4 Br 0.2793 0.7207 0.0000  1 P 2.59
5 Br 0.2793 0.2793 0.0000  1 P 2.59
6 Br 0.7207 0.2793 0.0000  1 P 2.59
7 Rb 0.0000 0.0000 0.0000  6 Br 3.28
8 Cs 0.7500 0.2500 0.5000  12 Br 4.16
9 Cs 0.2500 0.7500 0.5000  12 Br 4.16
10 P 0.5000 0.5000 0.0000  6 Br 2.59

Entry 11:
Tl8CdBi2 | GGA-PBE | optimized geometry

Computed properties:
Energy of formation ... 125 meV/atom
Crystal system ... monoclinic
Space-group type ... C2/m
Offset from the most stable computed form ... 0.1191 eV per atom

Lattice parameters (Å, degrees): 6.9389 8.1694 8.1694 71.23 107.21 107.21
Last column: nearest neighbours and their distance in Å.
Atoms (fractional coordinates):
1 Cd 0.0000 0.0000 0.0000  2 Tl 2.98, 2 Bi 3.09
2 Tl 0.8499 0.1838 0.1838  1 Cd 2.98, 1 Bi 3.18, 1 Tl 3.23
3 Tl 0.2295 0.8013 0.4192  2 Bi 3.24-3.37, 3 Tl 3.36-3.49, 1 Cd 3.41
4 Tl 0.1501 0.8162 0.8162  1 Cd 2.98, 1 Bi 3.18, 1 Tl 3.23
5 Tl 0.2553 0.4029 0.4029  1 Bi 3.20, 4 Tl 3.23-3.44
6 Tl 0.7705 0.1987 0.5808  2 Bi 3.24-3.37, 3 Tl 3.36-3.49, 1 Cd 3.41
7 Tl 0.7705 0.5808 0.1987  2 Bi 3.24-3.37, 3 Tl 3.36-3.49, 1 Cd 3.41
8 Tl 0.7447 0.5971 0.5971  1 Bi 3.20, 4 Tl 3.23-3.44
9 Tl 0.2295 0.4192 0.8013  2 Bi 3.24-3.37, 3 Tl 3.36-3.49, 1 Cd 3.41
10 Bi 0.4046 0.2014 0.2014  1 Cd 3.09, 6 Tl 3.18-3.37
11 Bi 0.5954 0.7986 0.7986  1 Cd 3.09, 6 Tl 3.18-3.37

Computed E_tot, in the same sequence as the records: -6.315 -6.273 -4.493 -2.744 -4.549 -4.985 -4.778 -2.916 -9.120 -2.966 -2.385 eV per atom.
Computed density of states at the Fermi level, in the same sequence as the records: 7.01 9.39 3.81 1.89 25.75 0.21 1.20 4.11 2.98 0.00 5.89 states/eV/cell.